{
  "formula": "Ba3MgMo",
  "functional": "PBE-GGA",
  "state": "optimized geometry",
  "lattice": [[6.017, 0.000, 0.000], [0.000, 6.017, 0.000], [0.000, 0.000, 6.017]],
  "species": ["Ba", "Ba", "Ba", "Mg", "Mo"],
  "fractional_positions": [[0.000, 0.000, 0.500], [0.000, 0.500, 0.000], [0.500, 0.000, 0.000], [0.500, 0.500, 0.500], [0.000, 0.000, 0.000]],
  "dos_ef_per_ev_cell": 4.54,
  "mass_density_g_cm3": 4.057,
  "magnetic_moment_mub_per_cell": 0.0,
  "de_polymorph_mev_per_atom": 0,
  "delta_e_f_ev_per_atom": 0.685
}


{
  "formula": "BaMgMo2",
  "functional": "PBE-GGA",
  "state": "optimized geometry",
  "lattice": [[3.239, 0.000, 0.000], [0.000, 4.310, 0.000], [0.000, 0.000, 7.243]],
  "species": ["Ba", "Mg", "Mo", "Mo"],
  "fractional_positions": [[0.000, 0.000, 0.000], [0.000, 0.000, 0.500], [0.500, 0.500, 0.349], [0.500, 0.500, 0.651]],
  "dos_ef_per_ev_cell": 3.68,
  "mass_density_g_cm3": 5.806,
  "magnetic_moment_mub_per_cell": 0.0,
  "delta_e_f_ev_per_atom": 0.800
}


{
  "formula": "BaMgMo2",
  "functional": "PBE-GGA",
  "state": "optimized geometry",
  "lattice": [[2.938, -5.141, 0.000], [2.938, 5.141, 0.000], [0.000, 0.000, 2.859]],
  "species": ["Ba", "Mg", "Mo", "Mo"],
  "fractional_positions": [[0.000, 0.000, 0.000], [0.500, 0.500, 0.000], [0.000, 0.500, 0.500], [0.500, 0.000, 0.500]],
  "dos_ef_per_ev_cell": 3.94,
  "mass_density_g_cm3": 6.795,
  "magnetic_moment_mub_per_cell": 0.0,
  "delta_e_f_ev_per_atom": 1.192
}


{
  "formula": "BaMgMo3",
  "functional": "PBE-GGA",
  "state": "optimized geometry",
  "lattice": [[5.009, 0.000, 0.000], [0.000, 5.009, 0.000], [0.000, 0.000, 5.009]],
  "species": ["Ba", "Mg", "Mo", "Mo", "Mo"],
  "fractional_positions": [[0.000, 0.000, 0.000], [0.500, 0.500, 0.500], [0.000, 0.000, 0.500], [0.000, 0.500, 0.000], [0.500, 0.000, 0.000]],
  "dos_ef_per_ev_cell": 7.29,
  "mass_density_g_cm3": 5.939,
  "magnetic_moment_mub_per_cell": 2.6,
  "de_polymorph_mev_per_atom": 798,
  "delta_e_f_ev_per_atom": 2.824
}


{
  "formula": "Ba2MgMo",
  "functional": "PBE-GGA",
  "state": "optimized geometry",
  "lattice": [[6.612, -1.937, 0.000], [6.612, 1.937, 0.000], [-2.374, 0.000, 5.424]],
  "species": ["Ba", "Ba", "Mg", "Mo"],
  "fractional_positions": [[0.000, 0.000, 0.000], [0.200, 0.200, 0.681], [0.413, 0.413, 0.413], [0.742, 0.742, 0.216]],
  "dos_ef_per_ev_cell": 3.86,
  "mass_density_g_cm3": 4.719,
  "magnetic_moment_mub_per_cell": 2.3,
  "delta_e_f_ev_per_atom": 0.727
}


{
  "formula": "BaMgMo2",
  "functional": "PBE-GGA",
  "state": "optimized geometry",
  "lattice": [[2.960, -5.188, 0.000], [2.960, 5.188, 0.000], [-0.874, 0.000, 2.764]],
  "species": ["Ba", "Mg", "Mo", "Mo"],
  "fractional_positions": [[0.000, 0.000, 0.000], [0.500, 0.500, 0.000], [0.000, 0.500, 0.500], [0.500, 0.000, 0.500]],
  "dos_ef_per_ev_cell": 4.67,
  "mass_density_g_cm3": 6.915,
  "magnetic_moment_mub_per_cell": 0.0,
  "delta_e_f_ev_per_atom": 1.146
}


{
  "formula": "BaMgMo2",
  "functional": "PBE-GGA",
  "state": "optimized geometry",
  "lattice": [[-1.691, 2.736, 5.451], [1.691, -2.736, 5.451], [1.691, 2.736, -5.451]],
  "species": ["Ba", "Mg", "Mo", "Mo"],
  "fractional_positions": [[0.000, 0.000, 0.000], [0.291, 0.791, 0.500], [0.575, 0.575, 0.000], [0.728, 0.228, 0.500]],
  "dos_ef_per_ev_cell": 3.49,
  "mass_density_g_cm3": 5.820,
  "magnetic_moment_mub_per_cell": 0.0,
  "delta_e_f_ev_per_atom": 0.762
}


{
  "formula": "BaMgMo2",
  "functional": "PBE-GGA",
  "state": "optimized geometry",
  "lattice": [[-1.441, 2.697, 5.584], [1.441, -2.697, 5.584], [1.441, 2.697, -5.584]],
  "species": ["Ba", "Mg", "Mo", "Mo"],
  "fractional_positions": [[0.000, 0.000, 0.000], [0.500, 0.500, 0.000], [0.268, 0.768, 0.500], [0.732, 0.232, 0.500]],
  "dos_ef_per_ev_cell": 3.60,
  "mass_density_g_cm3": 6.759,
  "magnetic_moment_mub_per_cell": 0.0,
  "delta_e_f_ev_per_atom": 1.132
}